Entry 1:
This record from Alexandria via LeMat-Bulk describes LiDySnPb after structural relaxation. The functional is GGA-PBE.

Crystal system: cubic
Formation enthalpy at 0 K (eV per atom): -0.349
VASP energy (eV per atom): -3.906

```
data_LiDySnPb
_space_group_name_H-M_alt 'F -4 3 m'
_space_group_IT_number 216
_space_group_name_Hall 'F -4 2 3'
_cell_length_a 7.4339
_cell_length_b 7.4339
_cell_length_c 7.4339
_cell_angle_alpha 90.00
_cell_angle_beta 90.00
_cell_angle_gamma 90.00
loop_
_atom_site_label
_atom_site_fract_x
_atom_site_fract_y
_atom_site_fract_z
Li1 0.0000 0.0000 0.0000
Dy1 0.0000 0.0000 0.5000
Sn1 0.2500 0.2500 0.7500
Pb1 0.2500 0.2500 0.2500
```

---

Entry 2:
This record from Alexandria via LeMat-Bulk describes TlFeTc2 after structural relaxation. The functional is GGA-PBE.

Crystal system: trigonal
Formation enthalpy at 0 K (eV per atom): 0.613
VASP energy (eV per atom): -7.277

```
data_TlFeTc2
_space_group_name_H-M_alt 'R -3 m'
_space_group_IT_number 166
_space_group_name_Hall '-R 3 2"'
_cell_length_a 2.9052
_cell_length_b 2.9052
_cell_length_c 26.4482
_cell_angle_alpha 90.00
_cell_angle_beta 90.00
_cell_angle_gamma 120.00
loop_
_atom_site_label
_atom_site_fract_x
_atom_site_fract_y
_atom_site_fract_z
Tl1 0.0000 0.0000 0.0000
Fe1 0.0000 0.0000 0.5000
Tc1 0.0000 0.0000 0.2401
```

---

Entry 3:
This record from Alexandria via LeMat-Bulk describes NaTi2Te2 after structural relaxation. The functional is GGA-PBE.

Raw formation energy (eV per formula unit): -2.78
Crystal system: tetragonal
VASP energy (eV per atom): -5.234

```
data_NaTi2Te2
_space_group_name_H-M_alt 'I 4/m m m'
_space_group_IT_number 139
_space_group_name_Hall '-I 4 2'
_cell_length_a 4.1100
_cell_length_b 4.1100
_cell_length_c 14.8403
_cell_angle_alpha 90.00
_cell_angle_beta 90.00
_cell_angle_gamma 90.00
loop_
_atom_site_label
_atom_site_fract_x
_atom_site_fract_y
_atom_site_fract_z
Na1 0.0000 0.0000 0.0000
Ti1 0.0000 0.5000 0.2500
Te1 0.0000 0.0000 0.3763
```

---

Entry 4:
This record from Alexandria via LeMat-Bulk describes Tm6SnBi3 after structural relaxation. The functional is GGA-PBE.

Crystal system: orthorhombic
Formation enthalpy at 0 K (eV per atom): -0.458
VASP energy (eV per atom): -4.706

```
data_Tm6SnBi3
_space_group_name_H-M_alt 'C m c 21'
_space_group_IT_number 36
_cell_length_a 10.8449
_cell_length_b 15.1330
_cell_length_c 7.5877
_cell_angle_alpha 90.00
_cell_angle_beta 90.00
_cell_angle_gamma 90.00
loop_
_space_group_symop_operation_xyz
'x,y,z'
'-x,-y,z+1/2'
'-x,y,z'
'x,-y,z+1/2'
'x+1/2,y+1/2,z'
'-x+1/2,-y+1/2,z+1/2'
'-x+1/2,y+1/2,z'
'x+1/2,-y+1/2,z+1/2'
loop_
_atom_site_label
_atom_site_fract_x
_atom_site_fract_y
_atom_site_fract_z
Tm1 0.0000 0.0088 0.0000
Tm2 0.0000 0.2498 0.1194
Tm3 0.1810 0.4386 0.1297
Tm4 0.1949 0.2733 0.5066
Sn1 0.0000 0.1669 0.7480
Bi1 0.0000 0.4237 0.4450
Bi2 0.1874 0.1003 0.2764
```